No. 1
Pr2NdHo2Tm2 | Alexandria | PBE | optimized geometry; E_form = 0.15 eV per atom; size of the total moment = 0.00 μB per formula unit; V = 33.66 Å³ per atom; SG = No. 12
1.0
-0.772 -0.033 -3.415
-3.799 -8.004 2.732
-4.439 7.179 0.933
Pr Nd Ho Tm
2 1 2 2
direct
0.648 0.295 0.912 Pr
0.352 0.705 0.088 Pr
0.000 0.000 0.500 Nd
0.429 0.859 0.764 Ho
0.571 0.141 0.236 Ho
0.788 0.577 0.379 Tm
0.212 0.423 0.621 Tm

***

No. 2
PrNd2Ho2Tm2 | Alexandria | PBE | optimized geometry; E_form = 0.15 eV per atom; size of the total moment = 0.00 μB per formula unit; V = 33.55 Å³ per atom; SG = No. 12
1.0
3.499 0.000 0.000
-1.749 8.844 -0.573
0.000 -3.416 7.813
Pr Nd Ho Tm
1 2 2 2
direct
0.000 0.000 0.500 Pr
0.572 0.144 0.912 Nd
0.428 0.856 0.088 Nd
0.213 0.426 0.796 Ho
0.787 0.574 0.204 Ho
0.651 0.302 0.395 Tm
0.349 0.698 0.605 Tm

***

No. 3
PrNdHo2Tm4 | Alexandria | PBE | optimized geometry; E_form = 0.43 eV per atom; size of the total moment = 2.03 μB per formula unit; V = 32.91 Å³ per atom; SG = No. 74
1.0
-2.614 5.389 7.339
-8.720 -3.701 -0.064
10.264 -5.467 -1.754
Pr Nd Ho Tm
2 2 4 8
direct
0.500 0.500 0.500 Pr
0.000 0.000 0.000 Pr
0.000 0.500 0.000 Nd
0.000 0.500 0.500 Nd
0.500 0.000 0.000 Ho
0.500 0.000 0.500 Ho
0.000 0.000 0.500 Ho
0.500 0.500 0.000 Ho
0.255 0.747 0.001 Tm
0.753 0.245 0.499 Tm
0.247 0.755 0.501 Tm
0.745 0.253 0.999 Tm
0.748 0.751 0.004 Tm
0.749 0.752 0.496 Tm
0.251 0.248 0.504 Tm
0.252 0.249 0.996 Tm

***

No. 4
Pr6NdYHo2 | Alexandria | PBE | optimized geometry; E_form = 0.11 eV per atom; size of the total moment = 0.00 μB per formula unit; V = 35.04 Å³ per atom; SG = No. 15
1.0
-7.545 6.229 0.498
-4.722 -6.355 -4.324
0.776 -0.757 8.956
Pr Nd Y Ho
12 2 2 4
direct
0.055 0.113 0.759 Pr
0.445 0.241 0.887 Pr
0.945 0.887 0.241 Pr
0.555 0.759 0.113 Pr
0.315 0.990 0.437 Pr
0.185 0.563 0.010 Pr
0.685 0.010 0.563 Pr
0.815 0.437 0.990 Pr
0.119 0.705 0.489 Pr
0.381 0.511 0.295 Pr
0.881 0.295 0.511 Pr
0.619 0.489 0.705 Pr
0.250 0.972 0.028 Nd
0.750 0.028 0.972 Nd
0.250 0.410 0.590 Y
0.750 0.590 0.410 Y
0.453 0.799 0.703 Ho
0.047 0.297 0.201 Ho
0.547 0.201 0.297 Ho
0.953 0.703 0.799 Ho

***

No. 5
PrNdYHo3 | Alexandria | PBE | optimized geometry; E_form = 0.11 eV per atom; size of the total moment = 0.00 μB per formula unit; V = 32.92 Å³ per atom; SG = No. 63
1.0
-4.164 3.097 -2.853
-1.446 -5.917 1.833
-3.982 4.179 10.348
Pr Nd Y Ho
2 2 2 6
direct
0.000 0.000 0.500 Pr
0.000 0.000 0.000 Pr
0.502 0.003 0.750 Nd
0.498 0.997 0.250 Nd
0.827 0.653 0.750 Y
0.173 0.347 0.250 Y
0.672 0.345 0.498 Ho
0.328 0.655 0.502 Ho
0.328 0.655 0.998 Ho
0.672 0.345 0.002 Ho
0.171 0.343 0.750 Ho
0.829 0.657 0.250 Ho

***

No. 6
PrNd2YHo | Alexandria | PBE | optimized geometry; E_form = 0.28 eV per atom; size of the total moment = 0.00 μB per formula unit; V = 35.17 Å³ per atom; SG = No. 13
1.0
-0.499 -4.052 -5.461
5.249 -5.333 3.478
-4.812 -2.981 2.651
Pr Nd Y Ho
2 4 2 2
direct
0.000 0.000 0.000 Pr
0.000 0.000 0.500 Pr
0.691 0.694 0.751 Nd
0.691 0.306 0.749 Nd
0.309 0.694 0.251 Nd
0.309 0.306 0.249 Nd
0.579 0.000 0.250 Y
0.421 0.000 0.750 Y
0.156 0.500 0.750 Ho
0.844 0.500 0.250 Ho

***

No. 7
PrNdY3Ho | Alexandria | PBE | optimized geometry; E_form = 0.11 eV per atom; size of the total moment = 0.00 μB per formula unit; V = 33.33 Å³ per atom; SG = No. 63
1.0
-4.132 1.291 4.063
0.942 -6.168 -1.420
8.200 -0.720 8.569
Pr Nd Y Ho
2 2 6 2
direct
0.000 0.000 0.500 Pr
0.000 0.000 0.000 Pr
0.498 0.997 0.750 Nd
0.502 0.003 0.250 Nd
0.672 0.344 0.502 Y
0.328 0.656 0.498 Y
0.328 0.656 0.002 Y
0.672 0.344 0.998 Y
0.173 0.346 0.750 Y
0.827 0.654 0.250 Y
0.829 0.658 0.750 Ho
0.171 0.342 0.250 Ho

***

No. 8
Pr2Nd6Y3Ho | Alexandria | PBE | optimized geometry; E_form = 0.01 eV per atom; size of the total moment = 0.00 μB per formula unit; V = 34.27 Å³ per atom; SG = No. 12
1.0
6.330 -0.001 0.004
-3.164 5.482 0.004
-1.060 -1.836 11.850
Pr Nd Y Ho
2 6 3 1
direct
0.333 0.667 0.000 Pr
0.667 0.333 0.000 Pr
0.916 0.584 0.748 Nd
0.752 0.752 0.253 Nd
0.084 0.416 0.252 Nd
0.584 0.916 0.748 Nd
0.248 0.248 0.747 Nd
0.416 0.084 0.252 Nd
0.166 0.834 0.500 Y
0.834 0.166 0.500 Y
0.500 0.500 0.500 Y
0.000 0.000 0.000 Ho

***

No. 9
Pr3Nd6Y2Ho | Alexandria | PBE | optimized geometry; E_form = 0.01 eV per atom; size of the total moment = 0.00 μB per formula unit; V = 34.67 Å³ per atom; SG = No. 12
1.0
6.352 -0.002 0.009
-3.176 5.501 0.009
-1.077 -1.865 11.899
Pr Nd Y Ho
3 6 2 1
direct
0.167 0.833 0.500 Pr
0.833 0.167 0.500 Pr
0.500 0.500 0.500 Pr
0.918 0.586 0.755 Nd
0.750 0.750 0.245 Nd
0.082 0.414 0.245 Nd
0.586 0.918 0.755 Nd
0.250 0.250 0.755 Nd
0.414 0.082 0.245 Nd
0.333 0.667 0.000 Y
0.667 0.333 0.000 Y
0.000 0.000 0.000 Ho

***

No. 10
PrNd2YHo2 | Alexandria | PBE | optimized geometry; E_form = 0.06 eV per atom; size of the total moment = 0.00 μB per formula unit; V = 33.37 Å³ per atom; SG = No. 58
1.0
-2.880 4.517 1.939
-8.301 -5.412 0.274
1.472 -1.922 6.664
Pr Nd Y Ho
2 4 2 4
direct
0.000 0.000 0.000 Pr
0.500 0.500 0.500 Pr
0.500 0.833 0.252 Nd
0.500 0.167 0.748 Nd
0.000 0.667 0.752 Nd
0.000 0.333 0.248 Nd
0.500 0.500 0.000 Y
0.000 0.000 0.500 Y
0.500 0.167 0.250 Ho
0.000 0.667 0.250 Ho
0.500 0.833 0.750 Ho
0.000 0.333 0.750 Ho

***

No. 11
PrNd3YHo | Alexandria | PBE | optimized geometry; E_form = 0.18 eV per atom; size of the total moment = 0.00 μB per formula unit; V = 34.57 Å³ per atom; SG = No. 12
1.0
-1.128 -5.440 -1.870
1.263 -0.776 10.683
-6.685 1.138 0.722
Pr Nd Y Ho
2 6 2 2
direct
0.352 0.704 0.974 Pr
0.648 0.296 0.026 Pr
0.841 0.681 0.244 Nd
0.780 0.560 0.727 Nd
0.482 0.964 0.249 Nd
0.220 0.440 0.273 Nd
0.518 0.036 0.751 Nd
0.159 0.319 0.756 Nd
0.058 0.117 0.263 Y
0.942 0.883 0.737 Y
0.642 0.283 0.479 Ho
0.358 0.717 0.521 Ho

***

No. 12
PrNd3Y6Ho2 | Alexandria | PBE | optimized geometry; E_form = 0.02 eV per atom; size of the total moment = 0.00 μB per formula unit; V = 32.97 Å³ per atom; SG = No. 12
1.0
6.245 0.001 0.009
-3.120 5.409 0.009
-1.054 -1.825 11.706
Pr Nd Y Ho
1 3 6 2
direct
0.000 0.000 0.000 Pr
0.167 0.833 0.500 Nd
0.833 0.167 0.500 Nd
0.500 0.500 0.500 Nd
0.917 0.583 0.752 Y
0.749 0.749 0.248 Y
0.083 0.417 0.248 Y
0.583 0.917 0.752 Y
0.251 0.251 0.752 Y
0.417 0.083 0.248 Y
0.333 0.667 0.000 Ho
0.667 0.333 0.000 Ho